Entry 1:
Computed, not measured: a geometry-optimized HgMo2Ir structure at the PBE level of DFT.

Fermi-level density of states: 8.04 states/eV/cell
formation enthalpy at 0 K: 291 kJ/mol of formula units
DFT total energy: -6.953 eV/atom
M_tot: 0.00 Bohr magnetons per cell

Cell lengths 5.8900, 5.8900, 5.8900 Å; angles 101.99, 101.99, 125.78 degrees
Element x y z (fractional)
Hg: 0.0000 0.0000 0.0000
Hg: 0.7500 0.2500 0.5000
Mo: 0.1645 0.1250 0.5395
Mo: 0.3750 0.8355 0.9605
Mo: 0.5855 0.6250 0.4605
Mo: 0.8750 0.4145 0.0395
Ir: 0.2500 0.7500 0.5000
Ir: 0.5000 0.5000 0.0000

=====

Entry 2:
Computed, not measured: a geometry-optimized Ca2AlZn3 structure at the PBE level of DFT.

Fermi-level density of states: 7.83 states/eV/cell
E above lowest polymorph: 0.0308 eV/atom
formation enthalpy at 0 K: -155 kJ/mol of formula units
DFT total energy: -2.196 eV/atom
M_tot: 0.00 Bohr magnetons per cell

Cell lengths 9.1419, 8.7188, 5.8540 Å; angles 74.83, 67.00, 38.17 degrees
Element x y z (fractional)
Ca: 0.2465 0.7535 0.7535
Ca: 0.2500 0.2500 0.2500
Ca: 0.7500 0.7500 0.7500
Ca: 0.7535 0.2465 0.2465
Al: 0.3337 0.3337 0.6663
Al: 0.6663 0.6663 0.3337
Zn: 0.1669 0.1669 0.8331
Zn: 0.1675 0.6664 0.3336
Zn: 0.3336 0.8325 0.1675
Zn: 0.6664 0.1675 0.8325
Zn: 0.8325 0.3336 0.6664
Zn: 0.8331 0.8331 0.1669

=====

Entry 3:
Computed, not measured: a geometry-optimized KLa2Pb3S6 structure at the PBE level of DFT.

Fermi-level density of states: 5.13 states/eV/cell
formation energy (no corrections): -1201 meV/atom
DFT total energy: -5.105 eV/atom
M_tot: 0.00 Bohr magnetons per cell

Cell lengths 9.4223, 9.4223, 9.0611 Å; angles 101.99, 101.99, 25.59 degrees
Element x y z (fractional)
K: 0.0000 0.0000 0.0000
La: 0.3334 0.3334 0.6729
La: 0.6666 0.6666 0.3271
Pb: 0.0000 0.0000 0.5000
Pb: 0.3399 0.3399 0.1689
Pb: 0.6601 0.6601 0.8311
S: 0.1696 0.1696 0.5528
S: 0.1792 0.1792 0.1125
S: 0.4903 0.4903 0.7299
S: 0.5097 0.5097 0.2701
S: 0.8208 0.8208 0.8875
S: 0.8304 0.8304 0.4472

=====

Please write out number 1 again, unchanged.
Computed, not measured: a geometry-optimized HgMo2Ir structure at the PBE level of DFT.

Fermi-level density of states: 8.04 states/eV/cell
formation enthalpy at 0 K: 291 kJ/mol of formula units
DFT total energy: -6.953 eV/atom
M_tot: 0.00 Bohr magnetons per cell

Cell lengths 5.8900, 5.8900, 5.8900 Å; angles 101.99, 101.99, 125.78 degrees
Element x y z (fractional)
Hg: 0.0000 0.0000 0.0000
Hg: 0.7500 0.2500 0.5000
Mo: 0.1645 0.1250 0.5395
Mo: 0.3750 0.8355 0.9605
Mo: 0.5855 0.6250 0.4605
Mo: 0.8750 0.4145 0.0395
Ir: 0.2500 0.7500 0.5000
Ir: 0.5000 0.5000 0.0000

=====

Q: What is the formula in the third record?
A: KLa2Pb3S6